Record 1
# Ac2LaErAs4 | Alexandria via LeMat-Bulk | PBE | relaxed
# * SG: P2/m
# * ΔE_f: -1140 kJ/mol of formula units
data_Ac2LaErAs4
_chemical_formula_sum 'Ac2 La1 Er1 As4'
_cell_length_a 7.604
_cell_length_b 4.398
_cell_length_c 7.610
_cell_angle_alpha 90.00
_cell_angle_beta 109.44
_cell_angle_gamma 90.00
_symmetry_space_group_name_H-M 'P 1'
_symmetry_Int_Tables_number 1
_symmetry_space_group_name_Hall 'P 1'
loop_
_atom_site_label
_atom_site_type_symbol
_atom_site_fract_x
_atom_site_fract_y
_atom_site_fract_z
Ac1 Ac 0.000 0.000 0.000
Ac2 Ac 0.500 0.500 0.000
La1 La 0.000 0.500 0.500
Er1 Er 0.500 0.000 0.500
As1 As 0.252 0.000 0.735
As2 As 0.263 0.500 0.270
As3 As 0.737 0.500 0.730
As4 As 0.748 0.000 0.265


Record 2
# HfAlSi | Alexandria via LeMat-Bulk | PBE | relaxed
# * SG: Cmcm
# * E_form (uncorrected): -11.14 kcal/mol of atoms
data_HfAlSi
_chemical_formula_sum 'Hf2 Al2 Si2'
_cell_length_a 7.381
_cell_length_b 7.381
_cell_length_c 3.779
_cell_angle_alpha 90.00
_cell_angle_beta 90.00
_cell_angle_gamma 149.96
_symmetry_space_group_name_H-M 'P 1'
_symmetry_Int_Tables_number 1
_symmetry_space_group_name_Hall 'P 1'
loop_
_atom_site_label
_atom_site_type_symbol
_atom_site_fract_x
_atom_site_fract_y
_atom_site_fract_z
Hf1 Hf 0.092 0.908 0.750
Hf2 Hf 0.908 0.092 0.250
Al1 Al 0.249 0.751 0.250
Al2 Al 0.751 0.249 0.750
Si1 Si 0.435 0.565 0.750
Si2 Si 0.565 0.435 0.250


Record 3
# PmNd2In3 | Alexandria via LeMat-Bulk | PBE | relaxed
# * SG: Cmmm
# * ΔE_f: -288 kJ/mol of formula units
# * ΔE to the lowest computed polymorph: 0.0000 eV/atom
data_PmNd2In3
_chemical_formula_sum 'Pm2 Nd4 In6'
_cell_length_a 8.649
_cell_length_b 8.649
_cell_length_c 7.734
_cell_angle_alpha 90.00
_cell_angle_beta 90.00
_cell_angle_gamma 143.13
_symmetry_space_group_name_H-M 'P 1'
_symmetry_Int_Tables_number 1
_symmetry_space_group_name_Hall 'P 1'
loop_
_atom_site_label
_atom_site_type_symbol
_atom_site_fract_x
_atom_site_fract_y
_atom_site_fract_z
Pm1 Pm 0.167 0.833 0.000
Pm2 Pm 0.833 0.167 0.000
Nd1 Nd 0.166 0.834 0.500
Nd2 Nd 0.500 0.500 0.000
Nd3 Nd 0.500 0.500 0.500
Nd4 Nd 0.834 0.166 0.500
In1 In 0.000 0.000 0.248
In2 In 0.000 0.000 0.752
In3 In 0.333 0.667 0.248
In4 In 0.333 0.667 0.752
In5 In 0.667 0.333 0.248
In6 In 0.667 0.333 0.752


The calculation returns the following E values, one per record and in order: -6.015, -6.856, -4.248 eV per atom.
The calculation returns the following total moment values, one per record and in order: 0.0, 0.0, 0.0 μB/cell.